Al3IrC | GGA-PBE | optimized geometry

Geometry as CIF:
```
data_Al3IrC
_cell_length_a 4.001
_cell_length_b 4.001
_cell_length_c 4.001
_cell_angle_alpha 90.00
_cell_angle_beta 90.00
_cell_angle_gamma 90.00
_symmetry_space_group_name_H-M 'P m -3 m'
_symmetry_Int_Tables_number 221
_symmetry_space_group_name_Hall '-P 4 2 3'
loop_
_atom_site_label
_atom_site_type_symbol
_atom_site_fract_x
_atom_site_fract_y
_atom_site_fract_z
Al1 Al 0.000 0.000 0.500
Ir1 Ir 0.500 0.500 0.500
C1 C 0.000 0.000 0.000
```

Summary:
Its energy relative to the lowest polymorph listed for this composition is 0 meV/atom. The calculation puts the total magnetic moment at 0.0 Bohr magnetons per cell. For the calculated formation energy, the calculation gives -3.8 kJ/mol of atoms. As for the raw total energy: -29.5 eV/f.u.